{
  "formula": "SmZnHg",
  "functional": "PBE-GGA",
  "state": "optimized geometry",
  "lattice": [[0.000, 3.350, 3.350], [3.350, 0.000, 3.350], [3.350, 3.350, 0.000]],
  "species": ["Sm", "Zn", "Hg"],
  "fractional_positions": [[0.000, 0.000, 0.000], [0.750, 0.750, 0.750], [0.500, 0.500, 0.500]],
  "spacegroup": "F-43m, No. 216",
  "ef_ev_per_atom": -0.255
}